DFT (PBE) results for a geometry-optimized KLaNb2 structure.

Summary:
D(E_F) ... 11.9 states/eV/cell
Formation energy from the elements ... 1285 meV per atom
Energy above the lowest structure with this stoichiometry ... 0.000 eV per formula unit

Unit cell a=4.2484 b=4.2484 c=11.6380 alpha=79.48 beta=79.48 gamma=90.00
With the nearest neighbours (Å) after each atom.
Atoms (fractional coordinates):
Nb1 0.8750 0.3519 0.7500  4 Nb 2.87-3.15, 2 La 3.16
Nb2 0.1019 0.1250 0.2500  4 Nb 2.87-3.15, 2 La 3.16
Nb3 0.6481 0.6250 0.2500  4 Nb 2.87-3.15, 2 La 3.16
Nb4 0.3750 0.8981 0.7500  4 Nb 2.87-3.15, 2 La 3.16
La1 0.0000 0.0000 0.0000  4 K 3.00, 4 Nb 3.16
La2 0.7500 0.2500 0.5000  4 K 3.00, 4 Nb 3.16
K1 0.2500 0.7500 0.5000  4 La 3.00, 4 Nb 3.22
K2 0.5000 0.5000 0.0000  4 La 3.00, 4 Nb 3.22



DFT (PBE) results for a geometry-optimized Zr2Nb structure.

Summary:
D(E_F) ... 16.8 states/eV/cell
Formation energy from the elements ... 69 meV per atom

Unit cell a=4.8966 b=10.5100 c=4.9804 alpha=90.00 beta=90.00 gamma=90.00
With the nearest neighbours (Å) after each atom.
Atoms (fractional coordinates):
Zr1 0.0000 0.9000 0.2500  4 Nb 2.84-3.02, 2 Zr 3.16
Zr2 0.5000 0.0906 0.2500  4 Nb 2.93-3.05, 5 Zr 3.13-3.25
Zr3 0.0000 0.4094 0.7500  4 Nb 2.93-3.05, 5 Zr 3.13-3.25
Zr4 0.5000 0.6000 0.7500  4 Nb 2.84-3.02, 2 Zr 3.16
Zr5 0.5000 0.4000 0.2500  4 Nb 2.84-3.02, 2 Zr 3.16
Zr6 0.5000 0.9094 0.7500  4 Nb 2.93-3.05, 5 Zr 3.13-3.25
Zr7 0.0000 0.1000 0.7500  4 Nb 2.84-3.02, 2 Zr 3.16
Zr8 0.0000 0.5906 0.2500  4 Nb 2.93-3.05, 5 Zr 3.13-3.25
Nb1 0.0000 0.7367 0.7500  8 Zr 2.84-3.05
Nb2 0.0000 0.2633 0.2500  8 Zr 2.84-3.05
Nb3 0.5000 0.2367 0.7500  8 Zr 2.84-3.05
Nb4 0.5000 0.7633 0.2500  8 Zr 2.84-3.05



DFT (PBE) results for a geometry-optimized Tb2ErU2Ru5 structure.

Summary:
D(E_F) ... 13.2 states/eV/cell
Formation energy from the elements ... -286 meV per atom

Unit cell a=3.5836 b=10.6088 c=10.6088 alpha=90.00 beta=90.00 gamma=90.00
With the nearest neighbours (Å) after each atom.
Atoms (fractional coordinates):
Ru1 0.5000 0.0000 0.5000  4 U 2.71
Ru2 0.5000 0.5532 0.7122  2 U 2.57
Ru3 0.5000 0.5000 0.0000  4 U 2.71
Ru4 0.5000 0.7122 0.4468  2 U 2.57
Ru5 0.5000 0.7878 0.9468  2 U 2.57
Ru6 0.5000 0.2122 0.0532  2 U 2.57
Ru7 0.5000 0.4468 0.2878  2 U 2.57
Ru8 0.5000 0.0532 0.7878  2 U 2.57
Ru9 0.5000 0.2878 0.5532  2 U 2.57
Ru10 0.5000 0.9468 0.2122  2 U 2.57
U1 0.0000 0.3644 0.1356  6 Ru 2.57-2.71, 1 Tb 2.85
U2 0.0000 0.6356 0.8644  6 Ru 2.57-2.71, 1 Tb 2.85
U3 0.0000 0.1356 0.6356  6 Ru 2.57-2.71, 1 Tb 2.85
U4 0.0000 0.8644 0.3644  6 Ru 2.57-2.71, 1 Tb 2.85
Tb1 0.0000 0.1744 0.3256  1 U 2.85, 2 Ru 3.17
Tb2 0.0000 0.8256 0.6744  1 U 2.85, 2 Ru 3.17
Tb3 0.0000 0.3256 0.8256  1 U 2.85, 2 Ru 3.17
Tb4 0.0000 0.6744 0.1744  1 U 2.85, 2 Ru 3.17
Er1 0.0000 0.0000 0.0000  8 Ru 2.93
Er2 0.0000 0.5000 0.5000  8 Ru 2.93



DFT (PBE) results for a geometry-optimized Pm6SiTe3Se2 structure.

Summary:
D(E_F) ... 4.5 states/eV/cell
Raw formation energy ... -144.6 kJ/mol of atoms

Unit cell a=4.3022 b=8.7826 c=9.7941 alpha=104.67 beta=102.69 gamma=90.00
With the nearest neighbours (Å) after each atom.
Atoms (fractional coordinates):
Se1 0.1672 0.3317 0.3343  6 Pm 2.96-3.02
Se2 0.8328 0.6683 0.6657  6 Pm 2.96-3.02
Pm1 0.3444 0.9079 0.6888  1 Si 2.87, 2 Se 2.98, 2 Te 3.20
Pm2 0.3287 0.4344 0.6573  3 Se 2.96-2.98, 3 Te 3.17-3.19
Pm3 0.6556 0.0921 0.3112  1 Si 2.87, 2 Se 2.98, 2 Te 3.20
Pm4 0.0038 0.2275 0.0077  2 Si 2.92, 1 Se 3.02, 3 Te 3.21-3.23
Pm5 0.6713 0.5656 0.3427  3 Se 2.96-2.98, 3 Te 3.17-3.19
Pm6 0.9962 0.7725 0.9923  2 Si 2.92, 1 Se 3.02, 3 Te 3.21-3.23
Te1 0.5000 0.5000 0.0000  6 Pm 3.17-3.23
Te2 0.1689 0.8317 0.3378  6 Pm 3.19-3.24
Te3 0.8311 0.1683 0.6622  6 Pm 3.19-3.24
Si1 0.5000 0.0000 0.0000  6 Pm 2.87-2.92



DFT (PBE) results for a geometry-optimized KLiLa2 structure.

Summary:
D(E_F) ... 5.5 states/eV/cell
Formation energy from the elements ... 320 meV per atom
Energy above the lowest structure with this stoichiometry ... 0.627 eV per formula unit

Unit cell a=6.0180 b=6.0180 c=7.8555 alpha=83.80 beta=83.80 gamma=33.86
With the nearest neighbours (Å) after each atom.
Atoms (fractional coordinates):
K1 0.2450 0.2450 0.2704  2 K 3.50, 3 Li 3.77-3.84
La1 0.0163 0.0163 0.9210  5 La 3.29-3.50, 2 Li 3.47
La2 0.7459 0.7459 0.7633  5 La 3.29-3.50, 3 Li 3.54-3.60
Li1 0.4927 0.4927 0.5452  5 La 3.47-3.60, 2 Li 3.50, 3 K 3.77-3.84



DFT (PBE) results for a geometry-optimized NdDyTmZn structure.

Summary:
D(E_F) ... 4.8 states/eV/cell
Formation energy from the elements ... 27 meV per atom
Energy above the lowest structure with this stoichiometry ... 0.766 eV per formula unit

Unit cell a=5.3669 b=5.3669 c=5.3669 alpha=60.00 beta=60.00 gamma=60.00
With the nearest neighbours (Å) after each atom.
Atoms (fractional coordinates):
Nd1 0.2500 0.2500 0.2500  4 Zn 3.29, 4 Tm 3.29
Tm1 0.5000 0.5000 0.5000  4 Nd 3.29, 4 Dy 3.29
Zn1 0.0000 0.0000 0.0000  4 Dy 3.29, 4 Nd 3.29
Dy1 0.7500 0.7500 0.7500  4 Tm 3.29, 4 Zn 3.29



DFT (PBE) results for a geometry-optimized SrI structure.

Summary:
D(E_F) ... 11.3 states/eV/cell
Raw formation energy ... -109.3 kJ/mol of atoms

Unit cell a=13.2617 b=13.2617 c=4.5949 alpha=90.00 beta=90.00 gamma=90.00
With the nearest neighbours (Å) after each atom.
Atoms (fractional coordinates):
I1 0.6023 0.7166 0.5000  4 Sr 3.32-3.46
I2 0.3977 0.2834 0.5000  4 Sr 3.32-3.46
I3 0.8794 0.8007 0.0000  4 Sr 3.38-3.55
I4 0.8007 0.1206 0.0000  4 Sr 3.38-3.55
I5 0.2834 0.6023 0.5000  4 Sr 3.32-3.46
I6 0.1993 0.8794 0.0000  4 Sr 3.38-3.55
I7 0.1206 0.1993 0.0000  4 Sr 3.38-3.55
I8 0.7166 0.3977 0.5000  4 Sr 3.32-3.46
Sr1 0.6378 0.9080 0.0000  4 I 3.46-3.55
Sr2 0.6198 0.1667 0.5000  4 I 3.32-3.38
Sr3 0.3622 0.0920 0.0000  4 I 3.46-3.55
Sr4 0.1667 0.3802 0.5000  4 I 3.32-3.38
Sr5 0.8333 0.6198 0.5000  4 I 3.32-3.38
Sr6 0.9080 0.3622 0.0000  4 I 3.46-3.55
Sr7 0.0920 0.6378 0.0000  4 I 3.46-3.55
Sr8 0.3802 0.8333 0.5000  4 I 3.32-3.38



DFT (PBE) results for a geometry-optimized TaMo14W structure.

Summary:
D(E_F) ... 10.5 states/eV/cell
Formation energy from the elements ... -41 meV per atom

Unit cell a=6.3516 b=6.3516 c=6.3520 alpha=90.00 beta=90.00 gamma=90.00
With the nearest neighbours (Å) after each atom.
Atoms (fractional coordinates):
Mo1 0.8750 0.3750 0.5000  8 Mo 2.76
Mo2 0.1262 0.1262 0.7517  6 Mo 2.74-2.76, 1 W 2.75, 1 Ta 2.77
Mo3 0.1262 0.1262 0.2483  6 Mo 2.74-2.76, 1 W 2.75, 1 Ta 2.77
Mo4 0.1262 0.6238 0.2483  6 Mo 2.74-2.76, 1 W 2.75, 1 Ta 2.77
Mo5 0.3750 0.8750 0.5000  8 Mo 2.76
Mo6 0.8750 0.3750 0.0000  8 Mo 2.74
Mo7 0.3750 0.3750 0.0000  8 Mo 2.74
Mo8 0.6238 0.1262 0.2483  6 Mo 2.74-2.76, 1 W 2.75, 1 Ta 2.77
Mo9 0.8750 0.8750 0.0000  8 Mo 2.75
Mo10 0.6238 0.6238 0.2483  6 Mo 2.74-2.76, 1 W 2.75, 1 Ta 2.77
Mo11 0.3750 0.8750 0.0000  8 Mo 2.74
Mo12 0.1262 0.6238 0.7517  6 Mo 2.74-2.76, 1 W 2.75, 1 Ta 2.77
Mo13 0.6238 0.1262 0.7517  6 Mo 2.74-2.76, 1 W 2.75, 1 Ta 2.77
Mo14 0.6238 0.6238 0.7517  6 Mo 2.74-2.76, 1 W 2.75, 1 Ta 2.77
Ta1 0.8750 0.8750 0.5000  8 Mo 2.77
W1 0.3750 0.3750 0.5000  8 Mo 2.75



DFT (PBE) results for a geometry-optimized Ba2CaRu structure.

Summary:
D(E_F) ... 4.8 states/eV/cell
Formation energy from the elements ... 480 meV per atom
Energy above the lowest structure with this stoichiometry ... 0.849 eV per formula unit

Unit cell a=11.4188 b=11.4188 c=11.4188 alpha=20.66 beta=20.66 gamma=20.66
With the nearest neighbours (Å) after each atom.
Atoms (fractional coordinates):
Ba1 0.0243 0.0243 0.0243  3 Ru 3.08
Ba2 0.4757 0.4757 0.4757  3 Ru 3.08
Ru1 0.7500 0.7500 0.7500  6 Ba 3.08
Ca1 0.2500 0.2500 0.2500  6 Ca 4.10, 6 Ba 4.31



DFT (PBE) results for a geometry-optimized PaTiBi2 structure.

Summary:
D(E_F) ... 19.8 states/eV/cell
Formation energy from the elements ... -39 meV per atom
Energy above the lowest structure with this stoichiometry ... 0.000 eV per formula unit

Unit cell a=4.2649 b=7.3910 c=13.7927 alpha=90.00 beta=90.00 gamma=90.00
With the nearest neighbours (Å) after each atom.
Atoms (fractional coordinates):
Ti1 0.7500 0.4475 0.0785  5 Bi 2.87-3.21, 2 Ti 3.14
Ti2 0.2500 0.0525 0.5785  5 Bi 2.87-3.21, 2 Ti 3.14
Ti3 0.2500 0.5525 0.9215  5 Bi 2.87-3.21, 2 Ti 3.14
Ti4 0.7500 0.9475 0.4215  5 Bi 2.87-3.21, 2 Ti 3.14
Bi1 0.7500 0.2892 0.5198  3 Ti 2.87, 2 Pa 3.16
Bi2 0.2500 0.3883 0.7260  2 Ti 2.96-3.21, 4 Pa 3.16-3.20
Bi3 0.7500 0.1117 0.2260  2 Ti 2.96-3.21, 4 Pa 3.16-3.20
Bi4 0.2500 0.8883 0.7740  2 Ti 2.96-3.21, 4 Pa 3.16-3.20
Bi5 0.2500 0.2108 0.0198  3 Ti 2.87, 2 Pa 3.16
Bi6 0.2500 0.7108 0.4802  3 Ti 2.87, 2 Pa 3.16
Bi7 0.7500 0.6117 0.2740  2 Ti 2.96-3.21, 4 Pa 3.16-3.20
Bi8 0.7500 0.7892 0.9802  3 Ti 2.87, 2 Pa 3.16
Pa1 0.2500 0.3227 0.3522  7 Bi 3.16-3.37
Pa2 0.7500 0.1773 0.8522  7 Bi 3.16-3.37
Pa3 0.7500 0.6773 0.6478  7 Bi 3.16-3.37
Pa4 0.2500 0.8227 0.1478  7 Bi 3.16-3.37



DFT (PBE) results for a geometry-optimized NaTlCuSn structure.

Summary:
D(E_F) ... 2.8 states/eV/cell
Formation energy from the elements ... 107 meV per atom

Unit cell a=5.0190 b=5.0190 c=5.0190 alpha=60.00 beta=60.00 gamma=60.00
With the nearest neighbours (Å) after each atom.
Atoms (fractional coordinates):
Sn1 0.2500 0.2500 0.2500  4 Na 3.07, 4 Cu 3.07
Na1 0.5000 0.5000 0.5000  4 Tl 3.07, 4 Sn 3.07
Tl1 0.7500 0.7500 0.7500  4 Na 3.07, 4 Cu 3.07
Cu1 0.0000 0.0000 0.0000  4 Sn 3.07, 4 Tl 3.07



DFT (PBE) results for a geometry-optimized KRuO4 structure.

Summary:
D(E_F) ... 12.3 states/eV/cell
Energy above the lowest structure with this stoichiometry ... 0.135 eV per formula unit
Raw formation energy ... -105.4 kJ/mol of atoms

Unit cell a=5.5538 b=5.5538 c=8.8035 alpha=90.00 beta=90.00 gamma=109.42
With the nearest neighbours (Å) after each atom.
Atoms (fractional coordinates):
O1 0.2814 0.2660 0.7500  1 Ru 1.76
O2 0.7091 0.2909 0.0853  1 Ru 1.75
O3 0.2909 0.7091 0.9147  1 Ru 1.75
O4 0.7091 0.2909 0.4147  1 Ru 1.75
O5 0.7186 0.7340 0.2500  1 Ru 1.76
O6 0.2660 0.2814 0.2500  1 Ru 1.76
O7 0.7340 0.7186 0.7500  1 Ru 1.76
O8 0.2909 0.7091 0.5853  1 Ru 1.75
K1 0.0000 0.0000 0.5000  6 O 2.74-2.82
K2 0.0000 0.0000 0.0000  6 O 2.74-2.82
Ru1 0.6016 0.3984 0.2500  4 O 1.75-1.76
Ru2 0.3984 0.6016 0.7500  4 O 1.75-1.76



Question: D(E_F) of number 7 (SrI)?
Answer: 11.3 states/eV/cell



What did the first record say?
DFT (PBE) results for a geometry-optimized KLaNb2 structure.

Summary:
D(E_F) ... 11.9 states/eV/cell
Formation energy from the elements ... 1285 meV per atom
Energy above the lowest structure with this stoichiometry ... 0.000 eV per formula unit

Unit cell a=4.2484 b=4.2484 c=11.6380 alpha=79.48 beta=79.48 gamma=90.00
With the nearest neighbours (Å) after each atom.
Atoms (fractional coordinates):
Nb1 0.8750 0.3519 0.7500  4 Nb 2.87-3.15, 2 La 3.16
Nb2 0.1019 0.1250 0.2500  4 Nb 2.87-3.15, 2 La 3.16
Nb3 0.6481 0.6250 0.2500  4 Nb 2.87-3.15, 2 La 3.16
Nb4 0.3750 0.8981 0.7500  4 Nb 2.87-3.15, 2 La 3.16
La1 0.0000 0.0000 0.0000  4 K 3.00, 4 Nb 3.16
La2 0.7500 0.2500 0.5000  4 K 3.00, 4 Nb 3.16
K1 0.2500 0.7500 0.5000  4 La 3.00, 4 Nb 3.22
K2 0.5000 0.5000 0.0000  4 La 3.00, 4 Nb 3.22



Question: The lowest D(E_F) belongs to which entry?
Answer: NaTlCuSn